DFT (GGA-PBE) results for a geometry-optimized Sr3Ni2Sn3 structure.

The volume comes out at 859.3 Å³ per cell. As for the crystal system: orthorhombic. The formation energy is -0.470 eV per atom.

The space group is Cmcm (No. 63) and the conventional cell measures 4.5832, 11.7490 and 15.9581 Å, with angles of 90.00, 90.00 and 90.00 degrees. Symmetry generates all atoms from Sr at (0.0000, 0.0676, 0.1093), Sr at (0.0000, 0.3628, 0.2500), Ni at (0.0000, 0.2219, 0.6033), Sn at (0.0000, 0.3352, 0.7500) and Sn at (0.0000, 0.3446, 0.0384).

DFT (GGA-PBE) results for a geometry-optimized Er4Tm6Tl structure.

The volume comes out at 343.0 Å³ per cell. As for the crystal system: hexagonal. The formation energy is 0.135 eV per atom.

The space group is P-6m2 (No. 187) and the conventional cell measures 10.7760, 10.7760 and 3.4105 Å, with angles of 90.00, 90.00 and 120.00 degrees. Symmetry generates all atoms from Er at (0.0000, 0.0000, 0.0000), Er at (0.0257, 0.5129, 0.5000), Tm at (0.1485, 0.2971, 0.5000), Tm at (0.3650, 0.1825, 0.0000) and Tl at (0.3333, 0.6667, 0.0000).

DFT (GGA-PBE) results for a geometry-optimized In3PAu structure.

The volume comes out at 141.4 Å³ per cell. As for the crystal system: cubic. The formation energy is 0.364 eV per atom.

The space group is Pm-3m (No. 221) and the conventional cell measures 5.2101, 5.2101 and 5.2101 Å, with angles of 90.00, 90.00 and 90.00 degrees. Symmetry generates all atoms from In at (0.0000, 0.0000, 0.5000), P at (0.0000, 0.0000, 0.0000) and Au at (0.5000, 0.5000, 0.5000).

DFT (GGA-PBE) results for a geometry-optimized Ac2ScAlPd6 structure.

The volume comes out at 216.7 Å³ per cell. As for the crystal system: triclinic. The formation energy is -0.697 eV per atom.

The space group is P-1 (No. 2) and the conventional cell measures 5.8958, 6.5334 and 6.7522 Å, with angles of 108.16, 101.63 and 110.60 degrees. Symmetry generates all atoms from Ac at (0.0217, 0.1672, 0.2998), Sc at (0.5000, 0.5000, 0.0000), Al at (0.5000, 0.0000, 0.5000), Pd at (0.0154, 0.6332, 0.2391), Pd at (0.3725, 0.8504, 0.0847) and Pd at (0.4096, 0.6554, 0.6482).

DFT (GGA-PBE) results for a geometry-optimized FeBi3Pd structure.

The volume comes out at 127.7 Å³ per cell. As for the crystal system: cubic. The formation energy is 0.507 eV per atom.

The space group is Pm-3m (No. 221) and the conventional cell measures 5.0355, 5.0355 and 5.0355 Å, with angles of 90.00, 90.00 and 90.00 degrees. Symmetry generates all atoms from Fe at (0.0000, 0.0000, 0.0000), Bi at (0.0000, 0.0000, 0.5000) and Pd at (0.5000, 0.5000, 0.5000).

DFT (GGA-PBE) results for a geometry-optimized ZnCd8Au2 structure.

The volume comes out at 478.1 Å³ per cell. As for the crystal system: monoclinic. The formation energy is -0.057 eV per atom.

The space group is C2/m (No. 12) and the conventional cell measures 17.0624, 4.4925 and 6.6927 Å, with angles of 90.00, 111.27 and 90.00 degrees. Symmetry generates all atoms from Zn at (0.0000, 0.0000, 0.0000), Cd at (0.0235, 0.5000, 0.7680), Cd at (0.0991, 0.0000, 0.4299), Cd at (0.1620, 0.0000, 0.9486), Cd at (0.2012, 0.5000, 0.2816) and Au at (0.1799, 0.5000, 0.6884).

DFT (GGA-PBE) results for a geometry-optimized Nd2Cd3Rh structure.

The volume comes out at 150.9 Å³ per cell. As for the crystal system: orthorhombic. The formation energy is -0.384 eV per atom.

The space group is Pmm2 (No. 25) and the conventional cell measures 3.6462, 4.9335 and 8.3905 Å, with angles of 90.00, 90.00 and 90.00 degrees. Symmetry generates all atoms from Nd at (0.0000, 0.0000, 0.0000), Nd at (0.0000, 0.5000, 0.4187), Cd at (0.5000, 0.0000, 0.6071), Cd at (0.5000, 0.5000, 0.1119), Cd at (0.5000, 0.5000, 0.7748) and Rh at (0.5000, 0.0000, 0.2728).

DFT (GGA-PBE) results for a geometry-optimized Na3InW structure.

The volume comes out at 184.7 Å³ per cell. As for the crystal system: cubic. The formation energy is 1.516 eV per atom.

The space group is Pm-3m (No. 221) and the conventional cell measures 5.6951, 5.6951 and 5.6951 Å, with angles of 90.00, 90.00 and 90.00 degrees. Symmetry generates all atoms from Na at (0.0000, 0.0000, 0.5000), In at (0.0000, 0.0000, 0.0000) and W at (0.5000, 0.5000, 0.5000).

What is the volume in the fifth record? 127.7 Å³ per cell

Among the records above, which one has the lowest volume? FeBi3Pd